This record from the Alexandria database describes a geometry-optimized CoSb2IF structure. The functional is PBE+U.

Structure (POSCAR):
```
CoSb2IF
1.0
4.898 0.000 0.000
0.000 4.898 0.000
0.000 0.000 5.327
Co Sb I F
1 2 1 1
direct
0.000 0.000 0.000
0.000 0.500 0.000
0.500 0.000 0.000
0.000 0.000 0.500
0.500 0.500 0.500
```

- Spin magnetization: 0.2538 μB/atom
- Density of states at the Fermi level: 0.404 states/eV per atom
- Distance to the lowest polymorph of the same formula: 0 kJ/mol of formula units